[1]
This record from Alexandria describes a relaxed structure of MnGaGeSe2. The functional is GGA-PBE.

Lattice parameters (Å, degrees): 10.1791 3.5893 6.3111 90.00 102.13 90.00
Last column: magnetic moment on the atom in μB.
Positions (direct):
1 Ge 0.9270 0.5000 0.4949  -0.14
2 Ge 0.9270 0.0000 0.9949  -0.14
3 Se 0.3033 0.5000 0.9567  -0.03
4 Se 0.3033 0.0000 0.4567  -0.03
5 Se 0.6388 0.5000 0.4047  -0.15
6 Se 0.6388 0.0000 0.9047  -0.15
7 Mn 0.7750 0.5000 0.1187  2.82
8 Mn 0.7750 0.0000 0.6187  2.82
9 Ga 0.1762 0.5000 0.5822  -0.04
10 Ga 0.1762 0.0000 0.0822  -0.04

Properties
Polymorph energy (0 for the lowest one): 80.5 meV/atom
Magnetization: 2.45 μB per formula unit
DOS at the Fermi energy: 3.357 states/eV/f.u.
V: 225.4 Å³ per cell
Calculated total energy: -4.943 eV per atom
Formation energy (no corrections): -0.186 eV/atom

[2]
This record from Alexandria describes a relaxed structure of CaCd3Tc. The functional is GGA-PBE.

Lattice parameters (Å, degrees): 5.6714 5.6714 5.6714 90.00 90.00 90.00
Last column: magnetic moment on the atom in μB.
Positions (direct):
1 Ca 0.0000 0.0000 0.0000  -0.07
2 Cd 0.0000 0.0000 0.5000  -0.02
3 Cd 0.5000 0.0000 0.0000  -0.01
4 Cd 0.0000 0.5000 0.0000  -0.03
5 Tc 0.5000 0.5000 0.5000  3.65

Properties
Polymorph energy (0 for the lowest one): 1071.2 meV/atom
Magnetization: 3.59 μB per formula unit
DOS at the Fermi energy: 6.044 states/eV/f.u.
V: 182.4 Å³ per cell
Calculated total energy: -1.559 eV per atom
Formation energy from the elements: 1.46 eV/atom

[3]
This record from Alexandria describes a relaxed structure of Sr2InTc. The functional is GGA-PBE.

Lattice parameters (Å, degrees): 10.6967 10.6967 10.6967 19.28 19.28 19.28
Last column: magnetic moment on the atom in μB.
Positions (direct):
1 Tc 0.2500 0.2500 0.2500  0.89
2 In 0.7500 0.7500 0.7500  0.00
3 Sr 0.9905 0.9905 0.9905  0.00
4 Sr 0.5095 0.5095 0.5095  0.00

Properties
Magnetization: 0.94 μB per formula unit
DOS at the Fermi energy: 3.509 states/eV/f.u.
V: 116.6 Å³ per cell
Calculated total energy: -3.499 eV per atom
Formation energy from the elements: 0.62 eV/atom

[4]
This record from Alexandria describes a relaxed structure of Cd2TcN. The functional is GGA-PBE.

Lattice parameters (Å, degrees): 8.8442 8.8442 6.5413 47.47 47.47 90.00
Positions (direct):
1 Tc 0.7500 0.2500 0.5000
2 Tc 0.0000 0.0000 0.0000
3 Cd 0.3750 0.4990 0.7500
4 Cd 0.2490 0.6250 0.2500
5 Cd 0.8750 0.7510 0.7500
6 Cd 0.5010 0.1250 0.2500
7 N 0.5000 0.5000 0.0000
8 N 0.2500 0.7500 0.5000

Properties
Polymorph energy (0 for the lowest one): 0.0 meV/atom
Magnetization: 0.00 μB per formula unit
DOS at the Fermi energy: 2.822 states/eV/f.u.
V: 150.0 Å³ per cell
Calculated total energy: -4.550 eV per atom
Formation energy (no corrections): 0.580 eV/atom

[5]
This record from Alexandria describes a relaxed structure of K4Cd3. The functional is GGA-PBE.

Lattice parameters (Å, degrees): 5.8608 8.4496 7.5131 115.83 112.96 90.00
Positions (direct):
1 K 0.5258 0.2788 0.0515
2 K 0.2008 0.7929 0.4017
3 K 0.7992 0.2071 0.5983
4 K 0.4742 0.7212 0.9485
5 Cd 0.2010 0.3638 0.4020
6 Cd 0.0000 0.0000 0.0000
7 Cd 0.7990 0.6362 0.5980

Properties
Polymorph energy (0 for the lowest one): 5.7 meV/atom
Magnetization: 0.00 μB per formula unit
DOS at the Fermi energy: 3.634 states/eV/f.u.
V: 301.8 Å³ per cell
Calculated total energy: -1.045 eV per atom
Formation energy from the elements: -0.03 eV/atom

[6]
This record from Alexandria describes a relaxed structure of NpGaSb. The functional is GGA-PBE.

Lattice parameters (Å, degrees): 4.3134 4.1605 4.5175 90.00 90.00 90.00
Last column: magnetic moment on the atom in μB.
Positions (direct):
1 Ga 0.0000 0.5000 0.0000  0.07
2 Np 0.0000 0.0000 0.5000  3.95
3 Sb 0.5000 0.0000 0.0000  -0.06

Properties
Polymorph energy (0 for the lowest one): 291.1 meV/atom
Magnetization: 4.38 μB per formula unit
DOS at the Fermi energy: 10.331 states/eV/f.u.
V: 81.1 Å³ per cell
Calculated total energy: -6.633 eV per atom
Formation energy (no corrections): 0.064 eV/atom